1.
Computed, not measured: TbSm5Dy2Tm after structural relaxation at the PBE-GGA level of DFT.

The crystal system is orthorhombic. The volume comes out at 302 Å³/f.u. As for the formation enthalpy at 0 K: 0.146 eV per atom. The value obtained for the raw total energy is -4.51 eV/atom.

It has space group Cmc2_1 (No. 36), with a = 5.615 Å, b = 20.197 Å, c = 10.643 Å, α = 90.00°, β = 90.00° and γ = 90.00°. The asymmetric unit holds Tb at (0.000, 0.199, 0.000), Sm at (0.000, 0.017, 0.009), Sm at (0.000, 0.280, 0.300), Sm at (0.000, 0.299, 0.696), Sm at (0.000, 0.388, 0.012), Sm at (0.000, 0.481, 0.732), Dy at (0.000, 0.111, 0.727), Dy at (0.000, 0.115, 0.303) and Tm at (0.000, 0.409, 0.451).

2.
Computed, not measured: In2SiBr2 after structural relaxation at the PBE-GGA level of DFT.

The crystal system is tetragonal. The volume comes out at 152 Å³/f.u. The formation energy (no corrections) is 0.052 eV/atom. The value obtained for the raw total energy is -2.80 eV/atom.

It has space group P4/mbm (No. 127), with a = 7.351 Å, b = 7.351 Å, c = 5.612 Å, α = 90.00°, β = 90.00° and γ = 90.00°. The asymmetric unit holds In at (0.183, 0.317, 0.000), Si at (0.000, 0.000, 0.500) and Br at (0.175, 0.675, 0.500).